(1)
## TaSiOs2 (PBE)

Data for a relaxed structure of TaSiOs2.

Cell: 2.9157 3.9097 5.2879 Å, 90.00 90.00 90.00°
Fractional positions:
1 Os 0.0000 0.0000 0.9750
2 Os 0.5000 0.5000 0.2917
3 Ta 0.5000 0.5000 0.7647
4 Si 0.0000 0.0000 0.4686

Computed properties:
Space-group type: Pmm2 (25)
M_tot (μB per cell): 0.00
VASP energy (eV for the cell shown): -40.25

***

(2)
## Cs4HgAu2F (PBE)

Data for a relaxed structure of Cs4HgAu2F.

Cell: 10.2099 10.2099 9.8488 Å, 118.76 118.76 89.55°
Fractional positions:
1 Cs 0.3152 0.7194 0.5175
2 Cs 0.7806 0.1848 0.9825
3 Cs 0.2194 0.8152 0.0175
4 Cs 0.7422 0.7548 0.5042
5 Cs 0.6848 0.2806 0.4825
6 Cs 0.7452 0.7578 0.9958
7 Cs 0.2578 0.2452 0.4958
8 Cs 0.2548 0.2422 0.0042
9 Hg 0.0000 0.5000 0.0000
10 Hg 0.0000 0.5000 0.5000
11 F 0.5000 0.5000 0.5000
12 F 0.0000 0.0000 0.0000
13 Au 0.0000 0.0000 0.5000
14 Au 0.5000 0.5000 0.0000
15 Au 0.5000 0.0000 0.0000
16 Au 0.5000 0.0000 0.5000

Computed properties:
Space-group type: C2/c (15)
M_tot (μB per cell): 0.00
VASP energy (eV for the cell shown): -36.74

***

(3)
## SrPdRhPb (PBE)

Data for a relaxed structure of SrPdRhPb.

Cell: 4.9446 4.9446 4.9446 Å, 60.00 60.00 60.00°
Fractional positions:
1 Sr 0.7500 0.7500 0.7500
2 Rh 0.0000 0.0000 0.0000
3 Pb 0.2500 0.2500 0.2500
4 Pd 0.5000 0.5000 0.5000

Computed properties:
Formation energy from the elements (eV/f.u.): -1.00
Space-group type: F-43m (216)
M_tot (μB per cell): 0.00

***

(4)
## KCrAg2Cl6 (PBE)

Data for a relaxed structure of KCrAg2Cl6.

Cell: 6.9450 6.9443 7.3447 Å, 61.74 61.68 59.93°
Last column: magnetic moment on the atom in μB.
Fractional positions:
1 Cl 0.9664 0.5378 0.2406  -0.02
2 Cl 0.2551 0.9664 0.2392  -0.02
3 Cl 0.6863 0.1470 0.7913  -0.02
4 Cl 0.5390 0.2539 0.2397  -0.02
5 Cl 0.3753 0.6861 0.7931  -0.02
6 Cl 0.1471 0.3764 0.7915  -0.02
7 K 0.8129 0.8131 0.5606  0.00
8 Cr 0.3255 0.3254 0.0236  2.85
9 Ag 0.5378 0.5374 0.3859  0.00
10 Ag 0.0162 0.0180 0.9498  -0.01

Computed properties:
Space-group type: P1 (1)
M_tot (μB per cell): 2.96
VASP energy (eV for the cell shown): -37.43

***

(5)
## SrDy2Rh9 (PBE)

Data for a relaxed structure of SrDy2Rh9.

Cell: 5.3194 5.3194 9.2563 Å, 73.30 73.30 60.00°
Fractional positions:
1 Rh 0.9171 0.4162 0.2505
2 Rh 0.0829 0.5838 0.7495
3 Rh 0.5838 0.0829 0.7495
4 Rh 0.6671 0.6671 0.9987
5 Rh 0.5838 0.5838 0.7495
6 Rh 0.4162 0.9171 0.2505
7 Rh 0.3329 0.3329 0.0013
8 Rh 0.4162 0.4162 0.2505
9 Rh 0.5000 0.5000 0.5000
10 Dy 0.8612 0.8612 0.4165
11 Dy 0.1388 0.1388 0.5835
12 Sr 0.0000 0.0000 0.0000

Computed properties:
Formation energy from the elements (eV/f.u.): -5.36
Space-group type: R-3m (166)
M_tot (μB per cell): 0.00

***

(6)
## Er3Cu4Si2 (PBE)

Data for a relaxed structure of Er3Cu4Si2.

Cell: 4.1438 5.5282 8.1642 Å, 108.38 90.00 112.01°
Fractional positions:
1 Si 0.6114 0.2228 0.2791
2 Si 0.3886 0.7772 0.7209
3 Er 0.0000 0.0000 0.0000
4 Er 0.3363 0.6725 0.3331
5 Er 0.6637 0.3275 0.6669
6 Cu 0.9394 0.8789 0.6100
7 Cu 0.7163 0.4325 0.0573
8 Cu 0.0606 0.1211 0.3900
9 Cu 0.2837 0.5675 0.9427

Computed properties:
Space-group type: C2/m (12)
M_tot (μB per cell): 0.00
VASP energy (eV for the cell shown): -45.58